Below is crystalline DyTi2NiN4 at its relaxed geometry, with properties calculated at the PBE level.

a b c (Å): 3.0989 5.4555 10.5769
angles (deg): 90.00 90.00 106.50
Closest atoms and distances in Å follow each position.
Sites, in units of the cell vectors:
Ti: 0.6317 0.2634 0.4506  5 N 1.98-2.21
N: 0.0000 0.0000 0.5000  4 Ti 2.14
N: 0.7309 0.4618 0.8899  1 Ni 1.92, 1 Ti 1.98
Ni: 0.1527 0.3054 0.2500  4 N 1.87-1.92
Ni: 0.8473 0.6946 0.7500  4 N 1.87-1.92
Dy: 0.1115 0.2230 0.7500  6 N 2.31-2.48
N: 0.5522 0.1043 0.2500  2 Ni 1.87
N: 0.4478 0.8957 0.7500  2 Ni 1.87
Ti: 0.6317 0.2634 0.0494  5 N 1.98-2.21
N: 0.0000 0.0000 0.0000  4 Ti 2.14
N: 0.2691 0.5382 0.3899  1 Ni 1.92, 1 Ti 1.98
Ti: 0.3683 0.7366 0.5494  5 N 1.98-2.21
Dy: 0.8885 0.7770 0.2500  6 N 2.31-2.48
N: 0.7309 0.4618 0.6101  1 Ni 1.92, 1 Ti 1.98
Ti: 0.3683 0.7366 0.9506  5 N 1.98-2.21
N: 0.2691 0.5382 0.1101  1 Ni 1.92, 1 Ti 1.98

Output
- symmetry = Cmcm (63)
- raw formation energy (eV/atom) = -1.189
- uncorrected energy (eV/cell) = -137.97